# 1
Li2MgZn2InPd2: optimized geometry, PBE.

Its raw total energy is -3.09 eV/atom.

The structure belongs to space group P-4m2 (No. 115); the cell edges are 4.454, 4.454 and 6.289 Å and the angles 90.00°, 90.00° and 90.00°. Symmetry generates all atoms from Li at (0.000, 0.500, 0.248), Mg at (0.500, 0.500, 0.000), Zn at (0.000, 0.000, 0.000), Zn at (0.500, 0.500, 0.500), In at (0.000, 0.000, 0.500) and Pd at (0.000, 0.500, 0.755).

---

# 2
ScNiMoAs: optimized geometry, PBE.

The calculation puts the energy above the lowest structure with this stoichiometry at 0 meV/atom. The total moment comes out at 0.0 μB per formula unit.

The structure belongs to space group F-43m (No. 216); the cell edges are 6.218, 6.218 and 6.218 Å and the angles 90.00°, 90.00° and 90.00°. Symmetry generates all atoms from Sc at (0.000, 0.000, 0.000), Ni at (0.250, 0.250, 0.750), Mo at (0.250, 0.250, 0.250) and As at (0.000, 0.000, 0.500).

---

# 3
ScCu2H6Ir: optimized geometry, PBE.

The total moment comes out at 0.0 μB per formula unit. Its raw total energy is -4.04 eV/atom.

The structure belongs to space group Fm-3m (No. 225); the cell edges are 7.141, 7.141 and 7.141 Å and the angles 90.00°, 90.00° and 90.00°. Symmetry generates all atoms from Sc at (0.000, 0.000, 0.000), Cu at (0.250, 0.250, 0.250), H at (0.000, 0.000, 0.270) and Ir at (0.000, 0.000, 0.500).

---

# 4
NdGdB2P2Ir2: optimized geometry, PBE.

The total moment comes out at 0.0 μB per formula unit. Its raw total energy is -7.35 eV/atom.

The structure belongs to space group P4mm (No. 99); the cell edges are 3.989, 3.989 and 8.388 Å and the angles 90.00°, 90.00° and 90.00°. Symmetry generates all atoms from Nd at (0.000, 0.000, 0.000), Gd at (0.500, 0.500, 0.611), B at (0.000, 0.000, 0.414), B at (0.500, 0.500, 0.192), P at (0.000, 0.000, 0.651), P at (0.500, 0.500, 0.952) and Ir at (0.000, 0.500, 0.305).

---

# 5
Cu: optimized geometry, PBE.

The calculation puts the energy above the lowest structure with this stoichiometry at 76 meV/atom.

The structure belongs to space group P6/mmm (No. 191); the cell edges are 4.1037, 4.1037 and 2.4587 Å and the angles 90.00°, 90.00° and 120.00°. Symmetry generates all atoms from Cu at (0.0000, 0.0000, 0.0000) and Cu at (0.3333, 0.6667, 0.5000).

---

# 6
TmZnGa: optimized geometry, PBE.

The total moment comes out at 0.0 μB per formula unit. Its raw total energy is -2.85 eV/atom.

The structure belongs to space group F-43m (No. 216); the cell edges are 6.609, 6.609 and 6.609 Å and the angles 90.00°, 90.00° and 90.00°. Symmetry generates all atoms from Tm at (0.000, 0.000, 0.000), Zn at (0.250, 0.250, 0.250) and Ga at (0.250, 0.250, 0.750).

---

# 7
HoTm2Sc3NiTe2: optimized geometry, PBE.

The total moment comes out at 0.5 μB per formula unit. Its raw total energy is -5.64 eV/atom.

The structure belongs to space group Amm2 (No. 38); the cell edges are 3.892, 13.780 and 7.976 Å and the angles 90.00°, 90.00° and 90.00°. Symmetry generates all atoms from Ho at (0.000, 0.000, 0.000), Tm at (0.000, 0.195, 0.411), Sc at (0.500, 0.000, 0.374), Sc at (0.500, 0.116, 0.723), Ni at (0.000, 0.000, 0.602) and Te at (0.500, 0.167, 0.107).

---

# 8
LuCdAgPd: optimized geometry, PBE.

The calculation puts the energy above the lowest structure with this stoichiometry at 117 meV/atom. The total moment comes out at 0.0 μB per formula unit.

The structure belongs to space group F-43m (No. 216); the cell edges are 6.815, 6.815 and 6.815 Å and the angles 90.00°, 90.00° and 90.00°. Symmetry generates all atoms from Lu at (0.000, 0.000, 0.000), Cd at (0.250, 0.250, 0.250), Ag at (0.000, 0.000, 0.500) and Pd at (0.250, 0.250, 0.750).